First-principles (PBE) data for an optimized crystal structure of Si3SnRh, as listed in the Alexandria database.

Computed properties:
**N(E_F)**: 3.89 states/eV/f.u.
**ρ**: 4.9 g/cm³
**ΔE_f (raw)**: 0.34 eV/atom
**Energy above the most stable polymorph in this dataset**: 0.000 eV per atom

extended XYZ file:
```
5
Lattice="4.6884 0.0000 0.0000 0.0000 4.6884 0.0000 0.0000 0.0000 4.6884" Properties=species:S:1:pos:R:3 pbc="T T T"
Si 0.0000 2.3442 0.0000
Si 2.3442 0.0000 0.0000
Si 0.0000 0.0000 2.3442
Rh 0.0000 0.0000 0.0000
Sn 2.3442 2.3442 2.3442
```

First-principles (PBE) data for an optimized crystal structure of ScRh2Cl, as listed in the Alexandria database.

Computed properties:
**N(E_F)**: 2.65 states/eV/f.u.
**ρ**: 7.5 g/cm³
**ΔE_f (raw)**: -0.24 eV/atom
**Energy above the most stable polymorph in this dataset**: 0.259 eV per atom

extended XYZ file:
```
4
Lattice="5.3174 0.0029 0.0091 2.5437 4.6694 -0.0091 -3.4689 -3.1128 2.5595" Properties=species:S:1:pos:R:3 pbc="T T T"
Rh 0.1263 0.0751 0.0000
Rh 2.9246 -0.3660 1.2843
Sc 3.7863 2.2504 0.0000
Cl 1.4856 1.9362 1.2752
```

Which formula does entry 1 have? Si3SnRh